Entry 1:
Pt5Au PBE optimized geometry; formation enthalpy at 0 K = 1.62 kcal/mol of atoms; SG = Cm; VASP energy = -33.06 eV/cell; offset from the most stable computed form = 0.0592 eV/atom
1.0
2.767 0.000 0.000
-1.384 5.379 0.016
0.000 -2.078 6.496
Au Pt
1 5
direct
0.997 0.995 0.993 Au
0.391 0.781 0.288 Pt
0.665 0.329 0.329 Pt
0.059 0.118 0.614 Pt
0.327 0.655 0.658 Pt
0.727 0.455 0.951 Pt

=====

Entry 2:
Pu8Pt5Au PBE optimized geometry; formation enthalpy at 0 K = -14.39 kcal/mol of atoms; SG = I-4; VASP energy = -156.87 eV/cell
1.0
7.151 0.000 -2.502
-3.548 6.195 -2.537
-0.056 0.000 7.576
Pu Pt Au
8 5 1
direct
0.123 0.759 0.026 Pu
0.974 0.097 0.733 Pu
0.760 0.244 0.367 Pu
0.633 0.392 0.877 Pu
0.485 0.608 0.240 Pu
0.636 0.903 0.877 Pu
0.267 0.241 0.364 Pu
0.123 0.756 0.515 Pu
0.007 0.381 0.131 Pt
0.869 0.877 0.250 Pt
0.750 0.619 0.627 Pt
0.500 0.000 0.500 Pt
0.373 0.123 0.993 Pt
0.250 0.500 0.750 Au

=====

Entry 3:
PuPtAu2 PBE optimized geometry; formation enthalpy at 0 K = -7.32 kcal/mol of atoms; SG = Fm-3m; VASP energy = -28.20 eV/cell
1.0
4.853 0.000 0.000
2.427 4.203 0.000
2.427 1.401 3.963
Au Pt Pu
2 1 1
direct
0.250 0.250 0.250 Au
0.750 0.750 0.750 Au
0.500 0.500 0.500 Pt
0.000 0.000 0.000 Pu

=====

Entry 4:
Pu2Pt3Au PBE optimized geometry; formation enthalpy at 0 K = -16.48 kcal/mol of atoms; SG = R-3m; VASP energy = -54.35 eV/cell
1.0
4.893 -0.143 -2.562
-3.112 4.559 -0.242
-0.244 0.122 5.483
Pu Pt Au
2 3 1
direct
0.755 0.378 0.133 Pu
0.245 0.622 0.867 Pu
0.500 0.500 0.500 Pt
0.000 0.000 0.500 Pt
0.500 0.000 0.500 Pt
0.000 0.000 0.000 Au

=====

Entry 5:
Pu2Pt9Au PBE optimized geometry; formation enthalpy at 0 K = -10.28 kcal/mol of atoms; SG = P4/mmm; VASP energy = -91.66 eV/cell
1.0
-1.400 -1.608 3.525
3.470 -2.187 0.381
5.127 9.220 6.241
Pu Pt Au
2 9 1
direct
0.000 0.000 0.327 Pu
0.000 0.000 0.673 Pu
0.500 0.500 0.000 Pt
0.500 0.500 0.331 Pt
0.500 0.500 0.669 Pt
0.500 0.000 0.163 Pt
0.500 0.000 0.500 Pt
0.500 0.000 0.837 Pt
0.000 0.500 0.163 Pt
0.000 0.500 0.500 Pt
0.000 0.500 0.837 Pt
0.000 0.000 0.000 Au

=====

Entry 6:
PuPt6Au2 PBE optimized geometry; formation enthalpy at 0 K = 6.53 kcal/mol of atoms; SG = Fm-3m; VASP energy = -54.58 eV/cell
1.0
5.436 0.000 3.139
1.812 5.125 3.139
0.000 0.000 6.277
Pu Pt Au
1 6 2
direct
0.000 0.000 0.000 Pu
0.716 0.716 0.284 Pt
0.284 0.716 0.716 Pt
0.284 0.716 0.284 Pt
0.284 0.284 0.716 Pt
0.716 0.284 0.284 Pt
0.716 0.284 0.716 Pt
0.250 0.250 0.250 Au
0.750 0.750 0.750 Au

=====

Entry 7:
Pu4PtAu PBE optimized geometry; formation enthalpy at 0 K = -6.59 kcal/mol of atoms; SG = P4/mcc; VASP energy = -136.72 eV/cell; offset from the most stable computed form = 0.0000 eV/atom
1.0
5.742 0.000 0.000
0.000 7.286 0.000
0.000 0.000 7.286
Pu Pt Au
8 2 2
direct
0.000 0.166 0.654 Pu
0.000 0.834 0.346 Pu
0.000 0.346 0.166 Pu
0.000 0.654 0.834 Pu
0.500 0.834 0.654 Pu
0.500 0.166 0.346 Pu
0.500 0.654 0.166 Pu
0.500 0.346 0.834 Pu
0.250 0.500 0.500 Pt
0.750 0.500 0.500 Pt
0.250 0.000 0.000 Au
0.750 0.000 0.000 Au

=====

Entry 8:
Pu6Pt5Au PBE optimized geometry; formation enthalpy at 0 K = -15.72 kcal/mol of atoms; SG = Immm; VASP energy = -127.65 eV/cell
1.0
4.749 0.343 -1.371
-1.328 6.370 -3.005
-0.099 0.010 8.612
Au Pt Pu
1 5 6
direct
0.000 0.000 0.000 Au
0.342 0.842 0.684 Pt
0.667 0.667 0.335 Pt
0.000 0.500 0.000 Pt
0.333 0.333 0.665 Pt
0.658 0.158 0.316 Pt
0.172 0.428 0.343 Pu
0.172 0.916 0.343 Pu
0.500 0.263 0.000 Pu
0.500 0.737 0.000 Pu
0.828 0.084 0.657 Pu
0.828 0.572 0.657 Pu

=====

Entry 9:
PuPtAu2 PBE optimized geometry; formation enthalpy at 0 K = -8.22 kcal/mol of atoms; SG = P4/mmm; VASP energy = -28.35 eV/cell
1.0
4.902 0.000 0.000
0.000 4.058 0.000
0.000 0.000 4.058
Au Pt Pu
2 1 1
direct
0.000 0.000 0.500 Au
0.000 0.500 0.000 Au
0.500 0.500 0.500 Pt
0.500 0.000 0.000 Pu

=====

Entry 10:
Pu7Pt5Au PBE optimized geometry; formation enthalpy at 0 K = -11.02 kcal/mol of atoms; SG = Imm2; VASP energy = -140.02 eV/cell
1.0
-4.964 2.252 -2.008
-6.073 -4.327 1.756
-3.308 4.709 5.057
Pu Pt Au
7 5 1
direct
0.630 0.370 0.370 Pu
0.263 0.737 0.737 Pu
0.006 0.312 0.677 Pu
0.006 0.677 0.312 Pu
0.324 0.176 0.176 Pu
0.519 0.823 0.139 Pu
0.519 0.139 0.823 Pu
0.510 0.008 0.488 Pt
0.994 0.008 0.488 Pt
0.510 0.488 0.008 Pt
0.994 0.488 0.008 Pt
0.773 0.727 0.727 Pt
0.953 0.047 0.047 Au

=====

Entry 11:
Pu4PtAu2 PBE optimized geometry; formation enthalpy at 0 K = -8.52 kcal/mol of atoms; SG = I-42d; VASP energy = -145.02 eV/cell
1.0
-1.046 5.585 -5.175
-4.609 1.074 6.062
1.713 6.842 3.065
Pu Pt Au
8 2 4
direct
0.752 0.024 0.364 Pu
0.748 0.522 0.366 Pu
0.112 0.226 0.522 Pu
0.388 0.364 0.884 Pu
0.252 0.886 0.226 Pu
0.888 0.366 0.886 Pu
0.612 0.728 0.024 Pu
0.248 0.884 0.728 Pu
0.500 0.250 0.250 Pt
0.000 0.000 0.000 Pt
0.131 0.506 0.125 Au
0.631 0.125 0.744 Au
0.869 0.745 0.625 Au
0.369 0.625 0.505 Au

=====

Entry 12:
Pu3Pt2Au PBE optimized geometry; formation enthalpy at 0 K = -14.58 kcal/mol of atoms; SG = P4/mmm; VASP energy = -62.15 eV/cell
1.0
3.515 0.000 0.000
0.000 3.515 0.000
0.000 0.000 10.899
Pu Pt Au
3 2 1
direct
0.000 0.000 0.000 Pu
0.000 0.000 0.682 Pu
0.000 0.000 0.318 Pu
0.500 0.500 0.839 Pt
0.500 0.500 0.161 Pt
0.500 0.500 0.500 Au

=====

Entry 13:
Pu5PtAu2 PBE optimized geometry; formation enthalpy at 0 K = -7.83 kcal/mol of atoms; SG = Pbam; VASP energy = -173.94 eV/cell
1.0
5.142 0.000 0.000
0.000 6.167 0.000
0.000 0.000 12.000
Pu Pt Au
10 2 4
direct
0.500 0.885 0.612 Pu
0.500 0.115 0.388 Pu
0.500 0.385 0.888 Pu
0.500 0.615 0.112 Pu
0.000 0.155 0.739 Pu
0.000 0.845 0.261 Pu
0.000 0.655 0.761 Pu
0.000 0.345 0.239 Pu
0.000 0.500 0.500 Pu
0.000 0.000 0.000 Pu
0.000 0.000 0.500 Pt
0.000 0.500 0.000 Pt
0.500 0.894 0.867 Au
0.500 0.106 0.133 Au
0.500 0.606 0.367 Au
0.500 0.394 0.633 Au

=====

Entry 14:
Pu3Pt8Au PBE optimized geometry; formation enthalpy at 0 K = -16.50 kcal/mol of atoms; SG = R3m; VASP energy = -103.18 eV/cell
1.0
5.183 0.000 1.565
2.355 4.617 1.565
-0.003 -0.002 9.378
Pu Pt Au
3 8 1
direct
0.377 0.377 0.870 Pu
0.994 0.994 0.018 Pu
0.505 0.505 0.485 Pu
0.940 0.437 0.186 Pt
0.437 0.937 0.688 Pt
0.437 0.437 0.186 Pt
0.937 0.937 0.688 Pt
0.188 0.188 0.436 Pt
0.688 0.688 0.937 Pt
0.437 0.940 0.186 Pt
0.937 0.437 0.688 Pt
0.872 0.872 0.383 Au

=====

Entry 15:
Pu7Pt2Au2 PBE optimized geometry; formation enthalpy at 0 K = -7.33 kcal/mol of atoms; SG = Imm2; VASP energy = -122.45 eV/cell; offset from the most stable computed form = 0.0000 eV/atom
1.0
4.442 0.000 -1.356
-1.160 6.624 -3.799
0.179 0.427 8.540
Pu Pt Au
7 2 2
direct
0.177 0.051 0.354 Pu
0.133 0.438 0.265 Pu
0.500 0.983 0.000 Pu
0.357 0.529 0.714 Pu
0.643 0.815 0.286 Pu
0.823 0.698 0.646 Pu
0.867 0.173 0.735 Pu
0.289 0.857 0.578 Pt
0.711 0.278 0.422 Pt
0.000 0.654 0.000 Au
0.500 0.378 0.000 Au

=====

Entry 16:
Pu6PtAu3 PBE optimized geometry; formation enthalpy at 0 K = -4.17 kcal/mol of atoms; SG = P2_1/c; VASP energy = -207.35 eV/cell
1.0
7.000 0.000 1.043
0.000 8.591 0.000
1.314 0.000 7.991
Pu Pt Au
12 2 6
direct
0.646 0.123 0.960 Pu
0.672 0.267 0.670 Pu
0.737 0.322 0.227 Pu
0.263 0.678 0.773 Pu
0.328 0.733 0.330 Pu
0.354 0.877 0.040 Pu
0.146 0.377 0.460 Pu
0.172 0.233 0.170 Pu
0.237 0.178 0.727 Pu
0.763 0.822 0.273 Pu
0.828 0.767 0.830 Pu
0.854 0.623 0.540 Pu
0.500 0.500 0.500 Pt
0.000 0.000 0.000 Pt
0.570 0.927 0.644 Au
0.500 0.500 0.000 Au
0.430 0.073 0.356 Au
0.070 0.573 0.144 Au
0.000 0.000 0.500 Au
0.930 0.427 0.856 Au

=====

Entry 17:
Pu3Pt2Au2 PBE optimized geometry; formation enthalpy at 0 K = -13.51 kcal/mol of atoms; SG = Cmmm; VASP energy = -65.73 eV/cell
1.0
4.130 0.000 0.548
0.000 3.740 0.000
0.723 0.000 10.387
Pu Pt Au
3 2 2
direct
0.834 0.000 0.331 Pu
0.000 0.000 0.000 Pu
0.166 0.000 0.669 Pu
0.706 0.500 0.589 Pt
0.294 0.500 0.411 Pt
0.571 0.500 0.858 Au
0.429 0.500 0.142 Au

=====

Entry 18:
PuPtAu4 PBE optimized geometry; formation enthalpy at 0 K = -5.25 kcal/mol of atoms; SG = F-43m; VASP energy = -34.85 eV/cell
1.0
5.519 0.000 0.000
2.759 4.780 0.000
2.759 1.593 4.506
Au Pt Pu
4 1 1
direct
0.625 0.625 0.124 Au
0.625 0.124 0.625 Au
0.625 0.625 0.625 Au
0.124 0.625 0.625 Au
0.000 0.000 0.000 Pt
0.250 0.250 0.250 Pu

=====

Entry 19:
PuPt2Au4 PBE optimized geometry; formation enthalpy at 0 K = -5.96 kcal/mol of atoms; SG = I4/mmm; VASP energy = -41.33 eV/cell
1.0
-1.342 3.232 4.222
2.243 -1.061 5.088
3.148 4.586 1.053
Pu Pt Au
1 2 4
direct
0.000 0.000 0.000 Pu
0.750 0.500 0.500 Pt
0.250 0.500 0.500 Pt
0.699 0.602 0.000 Au
0.301 0.398 0.000 Au
0.699 0.000 0.602 Au
0.301 0.000 0.398 Au

=====

Entry 20:
Pu4Pt3Au PBE optimized geometry; formation enthalpy at 0 K = -14.76 kcal/mol of atoms; SG = Pmmm; VASP energy = -83.85 eV/cell
1.0
-2.334 -1.555 -1.111
3.140 -4.319 -0.549
-2.614 -3.160 9.916
Au Pt Pu
1 3 4
direct
0.500 0.500 0.000 Au
0.500 0.000 0.250 Pt
0.500 0.500 0.500 Pt
0.500 0.000 0.750 Pt
0.000 0.000 0.500 Pu
0.000 0.500 0.742 Pu
0.000 0.000 0.000 Pu
0.000 0.500 0.258 Pu